Here is Os2Ru4W after structural relaxation from Alexandria. Energies are from PBE.

DFT total energy ... -0.37059 Ha/atom
Formation enthalpy at 0 K ... 0.2752 eV per atom

Cell lengths 4.8286, 4.8286, 5.0622 Å; angles 96.91, 96.91, 113.88 degrees
Atoms (fractional coordinates):
1 Os 0.2368 0.7632 0.0000
2 Os 0.7632 0.2368 0.0000
3 Ru 0.3081 0.3081 0.1730
4 Ru 0.3600 0.9817 0.5496
5 Ru 0.8110 0.8110 0.2456
6 Ru 0.9817 0.3600 0.5496
7 W 0.6311 0.6311 0.6980